VASP calculation (GGA-PBE) on crystalline Sm2GdTl at its relaxed geometry.

calculated total energy: -6.5539 eV/atom
energy relative to the lowest polymorph listed for this composition: 131 meV/atom
energy of formation from the pure elements: -82.5 meV/atom
DOS(E_F): 1.563 states/eV/atom

Unit cell a=5.538 b=5.538 c=5.538 alpha=60.00 beta=60.00 gamma=60.00
Fractional coordinates of all 4 atoms:
Sm (0.250, 0.250, 0.250)
Gd (0.000, 0.000, 0.000)
Tl (0.500, 0.500, 0.500)
Sm (0.750, 0.750, 0.750)


VASP calculation (GGA-PBE) on crystalline NaTl2CuBi at its relaxed geometry.

calculated total energy: -2.7315 eV/atom
energy of formation from the pure elements: 74.3 meV/atom
DOS(E_F): 0.428 states/eV/atom

Unit cell a=5.274 b=5.449 c=5.274 alpha=90.00 beta=90.00 gamma=90.00
Fractional coordinates of all 5 atoms:
Na (0.500, 0.500, 0.500)
Cu (0.000, 0.000, 0.000)
Tl (0.000, 0.000, 0.500)
Bi (0.000, 0.500, 0.000)
Tl (0.500, 0.000, 0.000)


VASP calculation (GGA-PBE) on crystalline Pr6Ho3Tm2Th at its relaxed geometry.

calculated total energy: -4.8619 eV/atom
energy of formation from the pure elements: 35.8 meV/atom
DOS(E_F): 1.275 states/eV/atom

Unit cell a=6.280 b=6.280 c=11.928 alpha=95.05 beta=95.05 gamma=119.99
Fractional coordinates of all 12 atoms:
Tm (0.333, 0.667, 0.000)
Tm (0.667, 0.333, 0.000)
Pr (0.753, 0.753, 0.249)
Pr (0.414, 0.083, 0.249)
Ho (0.833, 0.167, 0.500)
Pr (0.247, 0.247, 0.751)
Th (0.000, 0.000, 0.000)
Ho (0.500, 0.500, 0.500)
Pr (0.083, 0.414, 0.249)
Ho (0.167, 0.833, 0.500)
Pr (0.917, 0.586, 0.751)
Pr (0.586, 0.917, 0.751)


VASP calculation (GGA-PBE) on crystalline Sr2HfCu2S6 at its relaxed geometry.

calculated total energy: -5.2651 eV/atom
energy relative to the elements, uncorrected: -11.6 eV per formula unit
DOS(E_F): 0.775 states/eV/atom

Unit cell a=7.002 b=7.002 c=7.515 alpha=62.24 beta=62.24 gamma=60.00
Fractional coordinates of all 11 atoms:
S (0.243, 0.243, 0.736)
Hf (0.000, 0.000, 0.000)
S (0.223, 0.757, 0.264)
S (0.757, 0.223, 0.264)
S (0.777, 0.243, 0.736)
Cu (0.584, 0.584, 0.248)
Cu (0.416, 0.416, 0.752)
Sr (0.785, 0.785, 0.646)
Sr (0.215, 0.215, 0.354)
S (0.243, 0.777, 0.736)
S (0.757, 0.757, 0.264)


VASP calculation (GGA-PBE) on crystalline YMg3Cu2 at its relaxed geometry.

calculated total energy: -2.8878 eV/atom
energy of formation from the pure elements: 352.2 meV/atom
DOS(E_F): 0.523 states/eV/atom

Unit cell a=6.396 b=6.396 c=6.396 alpha=49.78 beta=49.78 gamma=49.78
Fractional coordinates of all 6 atoms:
Mg (0.000, 0.500, 0.500)
Cu (0.075, 0.075, 0.075)
Y (0.500, 0.500, 0.500)
Cu (0.925, 0.925, 0.925)
Mg (0.500, 0.500, 0.000)
Mg (0.500, 0.000, 0.500)


VASP calculation (GGA-PBE) on crystalline RbPtF at its relaxed geometry.

calculated total energy: -3.0689 eV/atom
energy relative to the elements, uncorrected: -0.3 eV per formula unit
energy relative to the lowest polymorph listed for this composition: 1238 meV/atom
DOS(E_F): 0.989 states/eV/atom

Unit cell a=4.645 b=4.645 c=4.645 alpha=60.00 beta=60.00 gamma=60.00
Fractional coordinates of all 3 atoms:
Rb (0.250, 0.250, 0.250)
F (0.000, 0.000, 0.000)
Pt (0.750, 0.750, 0.750)


VASP calculation (GGA-PBE) on crystalline Ba2Mo2Cl at its relaxed geometry.

calculated total energy: -5.1053 eV/atom
energy relative to the elements, uncorrected: 1.8 eV per formula unit
energy relative to the lowest polymorph listed for this composition: 454 meV/atom
DOS(E_F): 1.113 states/eV/atom

Unit cell a=8.829 b=8.829 c=5.033 alpha=90.00 beta=90.00 gamma=90.00
Fractional coordinates of all 10 atoms:
Ba (0.686, 0.186, 0.000)
Ba (0.186, 0.314, 0.000)
Ba (0.814, 0.686, 0.000)
Mo (0.418, 0.082, 0.500)
Mo (0.082, 0.582, 0.500)
Cl (0.500, 0.500, 0.000)
Mo (0.582, 0.918, 0.500)
Mo (0.918, 0.418, 0.500)
Cl (0.000, 0.000, 0.000)
Ba (0.314, 0.814, 0.000)


VASP calculation (GGA-PBE) on crystalline InHN2O at its relaxed geometry.

calculated total energy: -3.6429 eV/atom
DOS(E_F): 0.848 states/eV/atom

Unit cell a=4.297 b=4.297 c=4.548 alpha=90.00 beta=90.00 gamma=90.00
Fractional coordinates of all 5 atoms:
In (0.000, 0.000, 0.000)
N (0.000, 0.500, 0.000)
O (0.000, 0.000, 0.500)
N (0.500, 0.000, 0.000)
H (0.500, 0.500, 0.500)


VASP calculation (GGA-PBE) on crystalline MnGaGeSe2 at its relaxed geometry.

calculated total energy: -4.7959 eV/atom
energy relative to the elements, uncorrected: -0.2 eV per formula unit
energy relative to the lowest polymorph listed for this composition: 227 meV/atom
DOS(E_F): 0.449 states/eV/atom

Unit cell a=2.841 b=4.037 c=8.356 alpha=89.82 beta=99.66 gamma=90.02
Fractional coordinates of all 5 atoms:
Ge (0.722, 0.765, 0.869)
Se (0.359, 0.297, 0.142)
Se (0.592, 0.295, 0.606)
Mn (0.209, 0.259, 0.841)
Ga (0.475, 0.800, 0.363)


VASP calculation (GGA-PBE) on crystalline Ho3Tm8Mg at its relaxed geometry.

calculated total energy: -4.2291 eV/atom
energy of formation from the pure elements: 29.3 meV/atom
DOS(E_F): 1.576 states/eV/atom

Unit cell a=3.532 b=12.713 c=11.857 alpha=47.82 beta=107.34 gamma=89.99
Fractional coordinates of all 12 atoms:
Ho (0.595, 0.257, 0.845)
Tm (0.800, 0.581, 0.550)
Tm (0.601, 0.799, 0.851)
Tm (0.389, 0.206, 0.139)
Ho (0.402, 0.467, 0.152)
Tm (0.019, 0.079, 0.769)
Ho (0.408, 0.733, 0.158)
Tm (0.208, 0.410, 0.457)
Mg (0.594, 0.529, 0.844)
Tm (0.203, 0.140, 0.453)
Tm (0.795, 0.854, 0.545)
Tm (0.984, 0.915, 0.234)


VASP calculation (GGA-PBE) on crystalline ErZnTc at its relaxed geometry.

calculated total energy: -5.4467 eV/atom
energy relative to the lowest polymorph listed for this composition: 240 meV/atom
energy of formation from the pure elements: -45.8 meV/atom
DOS(E_F): 0.772 states/eV/atom

Unit cell a=5.539 b=4.745 c=4.745 alpha=119.11 beta=90.00 gamma=90.00
Fractional coordinates of all 6 atoms:
Er (0.250, 0.657, 0.343)
Zn (0.750, 0.682, 0.318)
Er (0.750, 0.343, 0.657)
Zn (0.250, 0.318, 0.682)
Tc (0.500, 0.000, 0.000)
Tc (0.000, 0.000, 0.000)


VASP calculation (GGA-PBE) on crystalline PuHfNb at its relaxed geometry.

calculated total energy: -11.1218 eV/atom
energy relative to the lowest polymorph listed for this composition: 214 meV/atom
energy of formation from the pure elements: 329.9 meV/atom
DOS(E_F): 2.025 states/eV/atom

Unit cell a=3.395 b=4.470 c=8.332 alpha=74.44 beta=90.00 gamma=90.00
Fractional coordinates of all 6 atoms:
Pu (0.250, 0.451, 0.098)
Pu (0.750, 0.549, 0.902)
Nb (0.750, 0.705, 0.590)
Hf (0.250, 0.115, 0.770)
Nb (0.250, 0.295, 0.410)
Hf (0.750, 0.885, 0.230)


VASP calculation (GGA-PBE) on crystalline GdGa2Sn at its relaxed geometry.

calculated total energy: -6.3577 eV/atom
energy relative to the lowest polymorph listed for this composition: 183 meV/atom
energy of formation from the pure elements: -323.4 meV/atom
DOS(E_F): 0.753 states/eV/atom

Unit cell a=3.706 b=3.706 c=6.652 alpha=90.00 beta=90.00 gamma=90.00
Fractional coordinates of all 4 atoms:
Ga (0.000, 0.000, 0.219)
Ga (0.000, 0.000, 0.781)
Sn (0.500, 0.500, 0.000)
Gd (0.500, 0.500, 0.500)


VASP calculation (GGA-PBE) on crystalline RbLa3S4 at its relaxed geometry.

calculated total energy: -6.0479 eV/atom
energy relative to the elements, uncorrected: -16.1 eV per formula unit
DOS(E_F): 0.528 states/eV/atom

Unit cell a=4.235 b=4.235 c=28.938 alpha=90.00 beta=90.00 gamma=120.00
Fractional coordinates of all 16 atoms:
S (0.000, 0.000, 0.669)
Rb (0.667, 0.333, 0.750)
La (0.000, 0.000, 0.000)
Rb (0.333, 0.667, 0.250)
La (0.667, 0.333, 0.116)
La (0.000, 0.000, 0.500)
S (0.667, 0.333, 0.942)
S (0.333, 0.667, 0.058)
S (0.333, 0.667, 0.442)
La (0.667, 0.333, 0.384)
La (0.333, 0.667, 0.884)
La (0.333, 0.667, 0.616)
S (0.000, 0.000, 0.169)
S (0.000, 0.000, 0.331)
S (0.667, 0.333, 0.558)
S (0.000, 0.000, 0.831)


VASP calculation (GGA-PBE) on crystalline Cs4Na2Au at its relaxed geometry.

calculated total energy: -1.4067 eV/atom
energy relative to the lowest polymorph listed for this composition: 0 meV/atom
energy of formation from the pure elements: -73.9 meV/atom
DOS(E_F): 0.605 states/eV/atom

Unit cell a=6.860 b=12.280 c=8.774 alpha=134.65 beta=113.01 gamma=90.00
Fractional coordinates of all 7 atoms:
Au (0.000, 0.000, 0.000)
Cs (0.917, 0.622, 0.835)
Na (0.700, 0.705, 0.399)
Cs (0.083, 0.378, 0.165)
Cs (0.617, 0.984, 0.234)
Cs (0.383, 0.016, 0.766)
Na (0.300, 0.295, 0.601)


VASP calculation (GGA-PBE) on crystalline Pr3Al3Zn2 at its relaxed geometry.

calculated total energy: -3.9139 eV/atom
energy relative to the lowest polymorph listed for this composition: 0 meV/atom
energy of formation from the pure elements: -399.6 meV/atom
DOS(E_F): 0.590 states/eV/atom

Unit cell a=4.624 b=5.898 c=15.238 alpha=90.00 beta=90.00 gamma=113.08
Fractional coordinates of all 16 atoms:
Pr (0.902, 0.804, 0.390)
Al (0.614, 0.228, 0.463)
Al (0.386, 0.772, 0.537)
Zn (0.800, 0.600, 0.902)
Al (0.677, 0.353, 0.750)
Al (0.323, 0.647, 0.250)
Zn (0.200, 0.400, 0.098)
Pr (0.098, 0.196, 0.610)
Al (0.614, 0.228, 0.037)
Zn (0.800, 0.600, 0.598)
Zn (0.200, 0.400, 0.402)
Pr (0.902, 0.804, 0.110)
Pr (0.379, 0.758, 0.750)
Pr (0.098, 0.196, 0.890)
Al (0.386, 0.772, 0.963)
Pr (0.621, 0.242, 0.250)


VASP calculation (GGA-PBE) on crystalline NdSc2Ni at its relaxed geometry.

calculated total energy: -5.8976 eV/atom
energy relative to the lowest polymorph listed for this composition: 111 meV/atom
energy of formation from the pure elements: -94.6 meV/atom
DOS(E_F): 1.148 states/eV/atom

Unit cell a=3.657 b=3.657 c=8.750 alpha=77.94 beta=77.94 gamma=60.00
Fractional coordinates of all 4 atoms:
Nd (0.502, 0.502, 0.494)
Sc (0.277, 0.277, 0.170)
Ni (0.666, 0.666, 0.003)
Sc (0.055, 0.055, 0.834)


VASP calculation (GGA-PBE) on crystalline Li2CaTb2Si2 at its relaxed geometry.

calculated total energy: -4.0822 eV/atom
energy relative to the elements, uncorrected: -2.6 eV per formula unit
DOS(E_F): 0.453 states/eV/atom

Unit cell a=4.528 b=4.528 c=9.311 alpha=75.93 beta=75.93 gamma=60.00
Fractional coordinates of all 7 atoms:
Li (0.404, 0.404, 0.788)
Si (0.255, 0.255, 0.235)
Tb (0.872, 0.872, 0.384)
Si (0.745, 0.745, 0.765)
Ca (0.000, 0.000, 0.000)
Tb (0.128, 0.128, 0.616)
Li (0.596, 0.596, 0.212)